VASP calculation (PBE) on a relaxed NiAu crystal.

Values from the calculation:
SG ... No. 38
Magnetic moment ... 0.27 μB/atom
E ... -51.79 eV for the cell shown
Formation energy ... 41 kJ/mol of formula units

Cell lengths 2.741, 11.242, 6.178 Å; angles 90.00, 90.00, 90.00 degrees
Atoms (fractional coordinates):
Ni (0.000, 0.000, 0.000)
Ni (0.000, 0.500, 0.500)
Ni (0.500, 0.106, 0.262)
Ni (0.500, 0.394, 0.762)
Ni (0.500, 0.606, 0.762)
Ni (0.500, 0.894, 0.262)
Au (0.000, 0.000, 0.588)
Au (0.000, 0.234, 0.981)
Au (0.000, 0.266, 0.481)
Au (0.000, 0.500, 0.088)
Au (0.000, 0.734, 0.481)
Au (0.000, 0.766, 0.981)